The following is a PBE-GGA calculation of a geometry-optimized Ac2ZnHg8 structure, from Alexandria via LeMat-Bulk.

```
11
Lattice="-2.5355 3.6619 8.0615 2.5355 -3.6619 8.0615 2.5355 3.6619 -8.0615" Properties=species:S:1:pos:R:3 pbc="T T T"
Ac 0.0000 0.0000 3.3436
Ac 0.0000 0.0000 12.7794
Zn 0.0000 0.0000 8.0615
Hg 2.5355 1.6361 -1.9071
Hg 0.0000 1.5755 0.0000
Hg 2.5355 1.6361 1.9071
Hg 2.5355 0.0000 5.6200
Hg 0.0000 3.6619 2.4415
Hg 0.0000 2.0258 6.1544
Hg 0.0000 5.7483 0.0000
Hg 0.0000 2.0258 9.9686
```

Results
Its spin magnetization is 0.0 μB/cell. The value obtained for the density of states at the Fermi level is 5.315 states/eV per cell. The polymorph energy (0 for the lowest one) comes out at 3.1 meV/atom. As for the space group: Immm, No. 71. As for the formation energy: -0.269 eV/atom.